Entry 1:
Computed, not measured: a geometry-optimized NdAlZn11 structure at the PBE level of DFT.

```
NdAlZn11
1.0
-2.902 4.147 1.507
-4.951 -1.685 4.427
2.512 3.096 5.575
Nd Al Zn
1 1 11
direct
0.000 0.000 0.000
0.500 0.500 0.000
0.276 0.218 0.222
0.724 0.782 0.778
0.502 0.782 0.222
0.498 0.218 0.778
0.355 0.645 0.644
0.645 0.355 0.356
0.001 0.355 0.644
0.999 0.645 0.356
0.000 0.500 0.000
0.500 0.000 0.500
0.000 0.000 0.500
```

Electronic total energy: -1.918 eV per atom
Crystal system: monoclinic
Energy of formation: -2.4 eV/f.u.
Symmetry: C2/m (12)

***

Entry 2:
Computed, not measured: a geometry-optimized Cs3La3MnS8 structure at the PBE level of DFT.

```
Cs3La3MnS8
1.0
-0.893 7.047 -4.320
2.545 -6.928 -3.827
-9.180 0.300 2.386
Cs La Mn S
3 3 1 8
direct
0.000 0.000 0.000
0.000 0.500 0.000
0.500 0.500 0.000
0.500 0.000 0.500
0.500 0.500 0.500
0.000 0.500 0.500
0.000 0.000 0.500
0.270 0.540 0.310
0.730 0.460 0.690
0.801 0.602 0.334
0.199 0.398 0.666
0.801 0.032 0.334
0.199 0.968 0.666
0.231 0.032 0.334
0.769 0.968 0.666
```

Electronic total energy: -5.493 eV per atom
Energy relative to the elements, uncorrected: -1.52 eV/atom
Crystal system: trigonal
Symmetry: R-3m (166)

***

Entry 3:
Computed, not measured: a geometry-optimized AlTe2Os structure at the PBE level of DFT.

```
AlTe2Os
1.0
-2.777 1.776 1.374
-3.241 -4.135 -1.204
0.800 -1.763 3.898
Te Os Al
2 1 1
direct
0.000 0.000 0.000
0.500 0.500 0.000
0.000 0.500 0.500
0.500 0.000 0.500
```

Electronic total energy: -4.479 eV per atom
Energy relative to the elements, uncorrected: 0.83 eV/atom
Crystal system: orthorhombic
Symmetry: Pmmm (47)